Material: ZnRh3O6
Method: DFT, GGA-PBE
State: relaxed

```
data_ZnRh3O6
_chemical_formula_sum 'Zn2 Rh6 O12'
_cell_length_a 5.237
_cell_length_b 5.412
_cell_length_c 7.635
_cell_angle_alpha 90.00
_cell_angle_beta 89.58
_cell_angle_gamma 90.00
_space_group_name_H-M_alt 'P 1'
_space_group_IT_number 1
loop_
_space_group_symop_operation_xyz
'x,y,z'
loop_
_atom_site_label
_atom_site_type_symbol
_atom_site_fract_x
_atom_site_fract_y
_atom_site_fract_z
_atom_site_occupancy
Zn1 Zn 0.500 0.500 0.500 1
Zn2 Zn 0.000 0.000 0.000 1
Rh1 Rh 0.505 0.936 0.798 1
Rh2 Rh 0.500 0.500 0.000 1
Rh3 Rh 0.495 0.064 0.202 1
Rh4 Rh 0.005 0.564 0.298 1
Rh5 Rh 0.000 0.000 0.500 1
Rh6 Rh 0.995 0.436 0.702 1
O1 O 0.660 0.175 0.961 1
O2 O 0.692 0.174 0.613 1
O3 O 0.651 0.415 0.254 1
O4 O 0.349 0.585 0.746 1
O5 O 0.308 0.826 0.387 1
O6 O 0.340 0.825 0.039 1
O7 O 0.160 0.325 0.461 1
O8 O 0.192 0.326 0.113 1
O9 O 0.151 0.085 0.754 1
O10 O 0.849 0.915 0.246 1
O11 O 0.808 0.674 0.887 1
O12 O 0.840 0.675 0.539 1
```

* formation energy from raw total energies: -664 meV per atom
* SG: P2_1/c
* density of states at the Fermi level: 0.5754 states/eV per atom
* total magnetization: 0.0 μB per formula unit



Material: ZnRh2O
Method: DFT, GGA-PBE
State: relaxed

```
data_ZnRh2O
_chemical_formula_sum 'Zn2 Rh4 O2'
_cell_length_a 4.492
_cell_length_b 4.492
_cell_length_c 7.224
_cell_angle_alpha 71.89
_cell_angle_beta 71.89
_cell_angle_gamma 90.00
_space_group_name_H-M_alt 'P 1'
_space_group_IT_number 1
loop_
_space_group_symop_operation_xyz
'x,y,z'
loop_
_atom_site_label
_atom_site_type_symbol
_atom_site_fract_x
_atom_site_fract_y
_atom_site_fract_z
_atom_site_occupancy
Zn1 Zn 0.000 0.000 0.000 1
Zn2 Zn 0.750 0.250 0.500 1
Rh1 Rh 0.490 0.125 0.250 1
Rh2 Rh 0.260 0.625 0.250 1
Rh3 Rh 0.375 0.510 0.750 1
Rh4 Rh 0.875 0.740 0.750 1
O1 O 0.500 0.500 0.000 1
O2 O 0.250 0.750 0.500 1
```

* formation energy from raw total energies: 97 meV per atom
* SG: I-42d
* density of states at the Fermi level: 0.3054 states/eV per atom
* total magnetization: 0.0 μB per formula unit
* energy above the most stable polymorph in this dataset: 0.0 meV per atom



Material: Zn2RhO2
Method: DFT, GGA-PBE
State: relaxed

```
data_Zn2RhO2
_chemical_formula_sum 'Zn2 Rh1 O2'
_cell_length_a 4.200
_cell_length_b 4.200
_cell_length_c 4.845
_cell_angle_alpha 64.31
_cell_angle_beta 64.31
_cell_angle_gamma 90.00
_space_group_name_H-M_alt 'P 1'
_space_group_IT_number 1
loop_
_space_group_symop_operation_xyz
'x,y,z'
loop_
_atom_site_label
_atom_site_type_symbol
_atom_site_fract_x
_atom_site_fract_y
_atom_site_fract_z
_atom_site_occupancy
Zn1 Zn 0.750 0.250 0.500 1
Zn2 Zn 0.250 0.750 0.500 1
Rh1 Rh 0.000 0.000 0.000 1
O1 O 0.268 0.268 0.465 1
O2 O 0.732 0.732 0.535 1
```

* formation energy from raw total energies: -465 meV per atom
* SG: I4/mmm
* density of states at the Fermi level: 0.8621 states/eV per atom
* total magnetization: 0.6 μB per formula unit
* energy above the most stable polymorph in this dataset: 0.0 meV per atom



Material: ZnRh3O
Method: DFT, GGA-PBE
State: relaxed

```
data_ZnRh3O
_chemical_formula_sum 'Zn1 Rh3 O1'
_cell_length_a 4.096
_cell_length_b 4.096
_cell_length_c 4.096
_cell_angle_alpha 90.00
_cell_angle_beta 90.00
_cell_angle_gamma 90.00
_space_group_name_H-M_alt 'P 1'
_space_group_IT_number 1
loop_
_space_group_symop_operation_xyz
'x,y,z'
loop_
_atom_site_label
_atom_site_type_symbol
_atom_site_fract_x
_atom_site_fract_y
_atom_site_fract_z
_atom_site_occupancy
Zn1 Zn 0.500 0.500 0.500 1
Rh1 Rh 0.000 0.500 0.000 1
Rh2 Rh 0.000 0.000 0.500 1
Rh3 Rh 0.500 0.000 0.000 1
O1 O 0.000 0.000 0.000 1
```

* formation energy from raw total energies: 39 meV per atom
* SG: Pm-3m
* density of states at the Fermi level: 1.2205 states/eV per atom
* total magnetization: 0.5 μB per formula unit
* energy above the most stable polymorph in this dataset: 0.0 meV per atom



Material: ZnRhO2
Method: DFT, GGA-PBE
State: relaxed

```
data_ZnRhO2
_chemical_formula_sum 'Zn2 Rh2 O4'
_cell_length_a 4.947
_cell_length_b 4.947
_cell_length_c 5.480
_cell_angle_alpha 63.17
_cell_angle_beta 63.17
_cell_angle_gamma 90.00
_space_group_name_H-M_alt 'P 1'
_space_group_IT_number 1
loop_
_space_group_symop_operation_xyz
'x,y,z'
loop_
_atom_site_label
_atom_site_type_symbol
_atom_site_fract_x
_atom_site_fract_y
_atom_site_fract_z
_atom_site_occupancy
Zn1 Zn 0.500 0.500 0.000 1
Zn2 Zn 0.250 0.750 0.500 1
Rh1 Rh 0.000 0.000 0.000 1
Rh2 Rh 0.750 0.250 0.500 1
O1 O 0.603 0.125 0.250 1
O2 O 0.147 0.625 0.250 1
O3 O 0.375 0.397 0.750 1
O4 O 0.875 0.853 0.750 1
```

* formation energy from raw total energies: -515 meV per atom
* SG: I-42d
* density of states at the Fermi level: 0.1797 states/eV per atom
* total magnetization: 1.0 μB per formula unit



Material: Zn2RhO4
Method: DFT, GGA-PBE
State: relaxed

```
data_Zn2RhO4
_chemical_formula_sum 'Zn8 Rh4 O16'
_cell_length_a 6.101
_cell_length_b 6.101
_cell_length_c 8.588
_cell_angle_alpha 90.00
_cell_angle_beta 90.00
_cell_angle_gamma 90.00
_space_group_name_H-M_alt 'P 1'
_space_group_IT_number 1
loop_
_space_group_symop_operation_xyz
'x,y,z'
loop_
_atom_site_label
_atom_site_type_symbol
_atom_site_fract_x
_atom_site_fract_y
_atom_site_fract_z
_atom_site_occupancy
Zn1 Zn 0.752 0.752 0.875 1
Zn2 Zn 0.248 0.752 0.125 1
Zn3 Zn 0.752 0.248 0.625 1
Zn4 Zn 0.248 0.248 0.375 1
Zn5 Zn 0.738 0.500 0.250 1
Zn6 Zn 0.500 0.262 0.000 1
Zn7 Zn 0.500 0.738 0.500 1
Zn8 Zn 0.262 0.500 0.750 1
Rh1 Rh 0.000 0.747 0.500 1
Rh2 Rh 0.253 0.000 0.750 1
Rh3 Rh 0.747 0.000 0.250 1
Rh4 Rh 0.000 0.253 0.000 1
O1 O 0.240 0.981 0.513 1
O2 O 0.760 0.981 0.487 1
O3 O 0.019 0.240 0.763 1
O4 O 0.760 0.019 0.013 1
O5 O 0.237 0.482 0.994 1
O6 O 0.518 0.237 0.244 1
O7 O 0.482 0.763 0.744 1
O8 O 0.237 0.518 0.506 1
O9 O 0.763 0.482 0.006 1
O10 O 0.763 0.518 0.494 1
O11 O 0.482 0.237 0.756 1
O12 O 0.518 0.763 0.256 1
O13 O 0.981 0.240 0.237 1
O14 O 0.240 0.019 0.987 1
O15 O 0.981 0.760 0.263 1
O16 O 0.019 0.760 0.737 1
```

* formation energy from raw total energies: -1076 meV per atom
* SG: P4_122
* density of states at the Fermi level: 0.7043 states/eV per atom
* total magnetization: 1.0 μB per formula unit



Material: Zn3RhO3
Method: DFT, GGA-PBE
State: relaxed

```
data_Zn3RhO3
_chemical_formula_sum 'Zn6 Rh2 O6'
_cell_length_a 5.710
_cell_length_b 5.710
_cell_length_c 5.710
_cell_angle_alpha 90.00
_cell_angle_beta 90.00
_cell_angle_gamma 90.00
_space_group_name_H-M_alt 'P 1'
_space_group_IT_number 1
loop_
_space_group_symop_operation_xyz
'x,y,z'
loop_
_atom_site_label
_atom_site_type_symbol
_atom_site_fract_x
_atom_site_fract_y
_atom_site_fract_z
_atom_site_occupancy
Zn1 Zn 0.250 0.000 0.500 1
Zn2 Zn 0.750 0.000 0.500 1
Zn3 Zn 0.000 0.500 0.250 1
Zn4 Zn 0.000 0.500 0.750 1
Zn5 Zn 0.500 0.250 0.000 1
Zn6 Zn 0.500 0.750 0.000 1
Rh1 Rh 0.000 0.000 0.000 1
Rh2 Rh 0.500 0.500 0.500 1
O1 O 0.250 0.500 0.000 1
O2 O 0.750 0.500 0.000 1
O3 O 0.500 0.000 0.250 1
O4 O 0.500 0.000 0.750 1
O5 O 0.000 0.250 0.500 1
O6 O 0.000 0.750 0.500 1
```

* formation energy from raw total energies: -581 meV per atom
* SG: Pm-3n
* density of states at the Fermi level: 0.6954 states/eV per atom
* total magnetization: 1.4 μB per formula unit



Material: Zn6RhO6
Method: DFT, GGA-PBE
State: relaxed

```
data_Zn6RhO6
_chemical_formula_sum 'Zn6 Rh1 O6'
_cell_length_a 5.693
_cell_length_b 5.693
_cell_length_c 5.693
_cell_angle_alpha 90.00
_cell_angle_beta 90.00
_cell_angle_gamma 90.00
_space_group_name_H-M_alt 'P 1'
_space_group_IT_number 1
loop_
_space_group_symop_operation_xyz
'x,y,z'
loop_
_atom_site_label
_atom_site_type_symbol
_atom_site_fract_x
_atom_site_fract_y
_atom_site_fract_z
_atom_site_occupancy
Zn1 Zn 0.248 0.500 0.000 1
Zn2 Zn 0.752 0.500 0.000 1
Zn3 Zn 0.500 0.000 0.248 1
Zn4 Zn 0.500 0.000 0.752 1
Zn5 Zn 0.000 0.248 0.500 1
Zn6 Zn 0.000 0.752 0.500 1
Rh1 Rh 0.000 0.000 0.000 1
O1 O 0.253 0.000 0.500 1
O2 O 0.747 0.000 0.500 1
O3 O 0.000 0.500 0.253 1
O4 O 0.000 0.500 0.747 1
O5 O 0.500 0.253 0.000 1
O6 O 0.500 0.747 0.000 1
```

* formation energy from raw total energies: -939 meV per atom
* SG: Pm-3
* density of states at the Fermi level: 0.4560 states/eV per atom
* total magnetization: 1.4 μB per formula unit



Material: ZnRh3O
Method: DFT, GGA-PBE
State: relaxed

```
data_ZnRh3O
_chemical_formula_sum 'Zn1 Rh3 O1'
_cell_length_a 4.600
_cell_length_b 4.600
_cell_length_c 4.600
_cell_angle_alpha 90.00
_cell_angle_beta 90.00
_cell_angle_gamma 90.00
_space_group_name_H-M_alt 'P 1'
_space_group_IT_number 1
loop_
_space_group_symop_operation_xyz
'x,y,z'
loop_
_atom_site_label
_atom_site_type_symbol
_atom_site_fract_x
_atom_site_fract_y
_atom_site_fract_z
_atom_site_occupancy
Zn1 Zn 0.000 0.000 0.000 1
Rh1 Rh 0.000 0.500 0.000 1
Rh2 Rh 0.000 0.000 0.500 1
Rh3 Rh 0.500 0.000 0.000 1
O1 O 0.500 0.500 0.500 1
```

* formation energy from raw total energies: 1645 meV per atom
* SG: Pm-3m
* density of states at the Fermi level: 1.0169 states/eV per atom
* total magnetization: 5.0 μB per formula unit
* energy above the most stable polymorph in this dataset: 1605.6 meV per atom



Material: ZrRhO2
Method: DFT, GGA-PBE
State: relaxed

```
data_ZrRhO2
_chemical_formula_sum 'Zr2 Rh2 O4'
_cell_length_a 4.173
_cell_length_b 4.173
_cell_length_c 6.928
_cell_angle_alpha 72.47
_cell_angle_beta 72.47
_cell_angle_gamma 90.00
_space_group_name_H-M_alt 'P 1'
_space_group_IT_number 1
loop_
_space_group_symop_operation_xyz
'x,y,z'
loop_
_atom_site_label
_atom_site_type_symbol
_atom_site_fract_x
_atom_site_fract_y
_atom_site_fract_z
_atom_site_occupancy
Rh1 Rh 0.000 0.000 0.000 1
Rh2 Rh 0.750 0.250 0.500 1
O1 O 0.601 0.125 0.250 1
O2 O 0.149 0.625 0.250 1
O3 O 0.375 0.399 0.750 1
O4 O 0.875 0.851 0.750 1
Zr1 Zr 0.500 0.500 0.000 1
Zr2 Zr 0.250 0.750 0.500 1
```

* formation energy from raw total energies: -1571 meV per atom
* SG: I-42d
* density of states at the Fermi level: 0.3484 states/eV per atom
* total magnetization: 1.0 μB per formula unit
* energy above the most stable polymorph in this dataset: 262.8 meV per atom



Material: ZrRhO2
Method: DFT, GGA-PBE
State: relaxed

```
data_ZrRhO2
_chemical_formula_sum 'Zr1 Rh1 O2'
_cell_length_a 6.115
_cell_length_b 6.115
_cell_length_c 6.115
_cell_angle_alpha 31.88
_cell_angle_beta 31.88
_cell_angle_gamma 31.88
_space_group_name_H-M_alt 'P 1'
_space_group_IT_number 1
loop_
_space_group_symop_operation_xyz
'x,y,z'
loop_
_atom_site_label
_atom_site_type_symbol
_atom_site_fract_x
_atom_site_fract_y
_atom_site_fract_z
_atom_site_occupancy
Rh1 Rh 0.000 0.000 0.000 1
O1 O 0.884 0.884 0.884 1
O2 O 0.116 0.116 0.116 1
Zr1 Zr 0.500 0.500 0.500 1
```

* formation energy from raw total energies: -1834 meV per atom
* SG: R-3m
* density of states at the Fermi level: 0.3671 states/eV per atom
* total magnetization: 0.0 μB per formula unit
* energy above the most stable polymorph in this dataset: 0.0 meV per atom



Material: ZrRhO3
Method: DFT, GGA-PBE
State: relaxed

```
data_ZrRhO3
_chemical_formula_sum 'Zr1 Rh1 O3'
_cell_length_a 3.879
_cell_length_b 3.879
_cell_length_c 3.879
_cell_angle_alpha 90.00
_cell_angle_beta 90.00
_cell_angle_gamma 90.00
_space_group_name_H-M_alt 'P 1'
_space_group_IT_number 1
loop_
_space_group_symop_operation_xyz
'x,y,z'
loop_
_atom_site_label
_atom_site_type_symbol
_atom_site_fract_x
_atom_site_fract_y
_atom_site_fract_z
_atom_site_occupancy
Rh1 Rh 0.000 0.000 0.000 1
O1 O 0.000 0.500 0.000 1
O2 O 0.000 0.000 0.500 1
O3 O 0.500 0.000 0.000 1
Zr1 Zr 0.500 0.500 0.500 1
```

* formation energy from raw total energies: -935 meV per atom
* SG: Pm-3m
* density of states at the Fermi level: 0.4944 states/eV per atom
* total magnetization: 0.0 μB per formula unit